Entry from Alexandria via LeMat-Bulk: a geometry-optimized LiZrZnSn structure (PBE).

Structure (POSCAR):
```
LiZrZnSn
1.0
4.109 0.000 0.000
0.000 4.295 0.000
0.000 0.000 4.263
Zn Zr Sn Li
1 1 1 1
Cartesian
0.000 2.148 2.131 Zn
2.054 0.000 2.131 Zr
0.000 0.000 0.000 Sn
2.054 2.148 0.000 Li
```

Output
Symmetry: No. 47
DOS(E_F) in states/eV per cell: 1.6
Formation energy in eV per atom: -0.3487
Total magnetic moment in μB per formula unit: 0.00